A relaxed Ce2CdSi3Pt4 crystal. Source: the Alexandria database, functional GGA-PBE.

The structure in POSCAR format:
```
Ce2CdSi3Pt4
1.0
4.251 0.000 0.000
0.000 4.251 0.000
0.000 0.000 10.462
Ce Cd Si Pt
2 1 3 4
Direct
0.000 0.500 0.245
0.500 0.000 0.755
0.000 0.000 0.500
0.000 0.500 0.878
0.500 0.000 0.122
0.500 0.500 0.500
0.000 0.000 0.000
0.000 0.500 0.654
0.500 0.000 0.346
0.500 0.500 0.000
```

VASP energy, eV per atom: -6.2426
E_form (uncorrected), eV per atom: -0.921
SG: P-4m2


A relaxed Pm3Nd3Er8 crystal. Source: the Alexandria database, functional GGA-PBE.

The structure in POSCAR format:
```
Pm3Nd3Er8
1.0
-2.832 5.365 7.596
2.832 -5.365 7.596
2.832 5.365 -7.596
Pm Nd Er
3 3 8
Direct
0.000 0.000 0.000
0.188 0.688 0.500
0.812 0.312 0.500
0.196 0.500 0.696
0.500 0.500 0.000
0.804 0.500 0.304
0.118 0.280 0.839
0.238 0.897 0.340
0.441 0.280 0.161
0.443 0.103 0.340
0.557 0.897 0.660
0.559 0.720 0.839
0.762 0.103 0.660
0.882 0.720 0.161
```

Energy of formation from the pure elements, eV/f.u.: 1.6
VASP energy, eV per atom: -4.5330
ΔE to the lowest computed polymorph, kJ per mole of atoms: 0.4
SG: Immm


A relaxed PmNiBN crystal. Source: the Alexandria database, functional GGA-PBE.

The structure in POSCAR format:
```
PmNiBN
1.0
3.609 0.000 0.000
0.000 3.609 0.000
0.000 0.000 7.558
Pm Ni B N
2 2 2 2
Direct
0.250 0.250 0.170
0.750 0.750 0.830
0.250 0.750 0.500
0.750 0.250 0.500
0.250 0.250 0.654
0.750 0.750 0.346
0.250 0.250 0.846
0.750 0.750 0.154
```

VASP energy, eV per atom: -7.3830
E_form (uncorrected), eV per atom: -0.999
SG: P4/nmm


A relaxed Ag2Sb2Cl crystal. Source: the Alexandria database, functional GGA-PBE.

The structure in POSCAR format:
```
Ag2Sb2Cl
1.0
8.471 0.000 0.000
0.000 8.471 0.000
0.000 0.000 3.292
Ag Sb Cl
4 4 2
Direct
0.162 0.338 0.000
0.338 0.838 0.000
0.662 0.162 0.000
0.838 0.662 0.000
0.133 0.633 0.500
0.367 0.133 0.500
0.633 0.867 0.500
0.867 0.367 0.500
0.000 0.000 0.000
0.500 0.500 0.000
```

VASP energy, eV per atom: -3.0864
ΔE to the lowest computed polymorph, kJ per mole of atoms: 1.8
E_form (uncorrected), eV per atom: 0.072
SG: P4/mbm


A relaxed Sr2LaCd3 crystal. Source: the Alexandria database, functional GGA-PBE.

The structure in POSCAR format:
```
Sr2LaCd3
1.0
2.834 -8.494 0.000
2.834 8.494 0.000
0.000 0.000 8.064
Sr La Cd
4 2 6
Direct
0.000 0.000 0.000
0.000 0.000 0.500
0.333 0.667 0.000
0.667 0.333 0.000
0.335 0.665 0.500
0.665 0.335 0.500
0.170 0.830 0.264
0.170 0.830 0.736
0.500 0.500 0.259
0.500 0.500 0.741
0.830 0.170 0.264
0.830 0.170 0.736
```

Energy of formation from the pure elements, eV/f.u.: -2.0
VASP energy, eV per atom: -2.1687
ΔE to the lowest computed polymorph, kJ per mole of atoms: 0.4
SG: Cmmm


A relaxed Pu2MgZn crystal. Source: the Alexandria database, functional GGA-PBE.

The structure in POSCAR format:
```
Pu2MgZn
1.0
3.580 0.000 0.000
0.000 3.580 0.000
0.000 0.000 5.293
Pu Mg Zn
2 1 1
Direct
0.000 0.500 0.000
0.500 0.000 0.000
0.000 0.000 0.500
0.500 0.500 0.500
```

Energy of formation from the pure elements, eV/f.u.: 1.5
VASP energy, eV per atom: -7.5004
ΔE to the lowest computed polymorph, kJ per mole of atoms: 25.8
SG: P4/mmm


A relaxed TaBeIn2 crystal. Source: the Alexandria database, functional GGA-PBE.

The structure in POSCAR format:
```
TaBeIn2
1.0
1.543 -2.684 0.000
1.543 2.684 0.000
0.000 0.000 9.215
Ta Be In
1 1 2
Direct
0.000 0.000 0.000
0.000 0.000 0.500
0.500 0.500 0.272
0.500 0.500 0.728
```

Energy of formation from the pure elements, eV/f.u.: 2.1
VASP energy, eV per atom: -4.7342
SG: Cmmm


A relaxed LaEr2TlN crystal. Source: the Alexandria database, functional GGA-PBE.

The structure in POSCAR format:
```
LaEr2TlN
1.0
4.829 0.000 0.000
0.000 4.829 0.000
0.000 0.000 5.069
La Er Tl N
1 2 1 1
Direct
0.000 0.000 0.000
0.000 0.500 0.500
0.500 0.000 0.500
0.500 0.500 0.000
0.000 0.000 0.500
```

VASP energy, eV per atom: -5.8171
E_form (uncorrected), eV per atom: -0.868
SG: P4/mmm


A relaxed BeCuCl2 crystal. Source: the Alexandria database, functional GGA-PBE.

The structure in POSCAR format:
```
BeCuCl2
1.0
3.417 0.000 0.000
0.000 2.950 0.000
-1.326 0.000 10.279
Be Cu Cl
1 1 2
Direct
0.000 0.000 0.000
0.500 0.000 0.500
0.102 0.500 0.867
0.898 0.500 0.133
```

VASP energy, eV per atom: -3.0998
ΔE to the lowest computed polymorph, kJ per mole of atoms: 23.1
E_form (uncorrected), eV per atom: -0.221
SG: P2/m


A relaxed FePt2Se crystal. Source: the Alexandria database, functional GGA-PBE.

The structure in POSCAR format:
```
FePt2Se
1.0
2.768 0.000 0.000
0.000 3.435 0.000
0.000 0.000 6.944
Fe Pt Se
1 2 1
Direct
0.000 0.000 0.000
0.500 0.500 0.208
0.500 0.500 0.792
0.500 0.000 0.500
```

VASP energy, eV per atom: -6.0590
E_form (uncorrected), eV per atom: -0.052
SG: Pmmm


A relaxed LiPrSn3 crystal. Source: the Alexandria database, functional GGA-PBE.

The structure in POSCAR format:
```
LiPrSn3
1.0
4.335 0.000 0.000
0.000 6.565 0.000
0.000 0.000 9.942
Li Pr Sn
2 2 6
Direct
0.250 0.250 0.045
0.750 0.750 0.955
0.250 0.750 0.421
0.750 0.250 0.579
0.250 0.002 0.793
0.250 0.250 0.344
0.250 0.498 0.793
0.750 0.502 0.207
0.750 0.750 0.656
0.750 0.998 0.207
```

Energy of formation from the pure elements, eV/f.u.: -1.9
VASP energy, eV per atom: -4.1289
ΔE to the lowest computed polymorph, kJ per mole of atoms: 2.3
SG: Pmmn


A relaxed LiGdHoSc crystal. Source: the Alexandria database, functional GGA-PBE.

The structure in POSCAR format:
```
LiGdHoSc
1.0
0.000 3.775 3.775
3.775 0.000 3.775
3.775 3.775 0.000
Li Gd Ho Sc
1 1 1 1
Direct
0.000 0.000 0.000
0.250 0.250 0.250
0.750 0.750 0.750
0.500 0.500 0.500
```

Energy of formation from the pure elements, eV/f.u.: 0.6
VASP energy, eV per atom: -6.5726
SG: F-43m


A relaxed NbTcP crystal. Source: the Alexandria database, functional GGA-PBE.

The structure in POSCAR format:
```
NbTcP
1.0
1.520 -5.272 0.000
1.520 5.272 0.000
0.000 0.000 5.641
Nb Tc P
2 2 2
Direct
0.197 0.803 0.500
0.803 0.197 0.000
0.468 0.532 0.697
0.532 0.468 0.197
0.109 0.891 0.917
0.891 0.109 0.417
```

Energy of formation from the pure elements, eV/f.u.: -1.8
VASP energy, eV per atom: -9.2299
ΔE to the lowest computed polymorph, kJ per mole of atoms: 0.4
SG: Cmc2_1


A relaxed ErBe2TlF8 crystal. Source: the Alexandria database, functional GGA-PBE.

The structure in POSCAR format:
```
ErBe2TlF8
1.0
2.567 1.482 8.107
-2.567 1.482 8.107
0.000 -2.964 8.107
Er Be Tl F
1 2 1 8
Direct
0.000 0.000 0.000
0.255 0.255 0.255
0.745 0.745 0.745
0.500 0.500 0.500
0.011 0.580 0.251
0.194 0.194 0.194
0.251 0.011 0.580
0.420 0.749 0.989
0.580 0.251 0.011
0.749 0.989 0.420
0.806 0.806 0.806
0.989 0.420 0.749
```

VASP energy, eV per atom: -5.7705
E_form (uncorrected), eV per atom: -3.325
SG: R-3


A relaxed Pr2ZnGe3Pd4 crystal. Source: the Alexandria database, functional GGA-PBE.

The structure in POSCAR format:
```
Pr2ZnGe3Pd4
1.0
4.362 0.000 0.000
0.000 4.362 0.000
0.000 0.000 10.201
Pr Zn Ge Pd
2 1 3 4
Direct
0.000 0.500 0.248
0.500 0.000 0.752
0.500 0.500 0.000
0.000 0.000 0.000
0.000 0.500 0.630
0.500 0.000 0.370
0.000 0.000 0.500
0.000 0.500 0.872
0.500 0.000 0.128
0.500 0.500 0.500
```

Energy of formation from the pure elements, eV/f.u.: -8.0
VASP energy, eV per atom: -5.3437
SG: P-4m2


A relaxed Na2PaCrSe4 crystal. Source: the Alexandria database, functional GGA-PBE.

The structure in POSCAR format:
```
Na2PaCrSe4
1.0
6.776 0.000 0.000
0.000 4.104 0.000
-2.317 0.000 7.039
Na Pa Cr Se
2 1 1 4
Direct
0.000 0.000 0.000
0.500 0.500 0.000
0.000 0.500 0.500
0.500 0.000 0.500
0.255 0.000 0.728
0.271 0.500 0.283
0.729 0.500 0.717
0.745 0.000 0.272
```

VASP energy, eV per atom: -5.5177
E_form (uncorrected), eV per atom: -1.056
SG: P2/m


A relaxed NaMgZr2Ru crystal. Source: the Alexandria database, functional GGA-PBE.

The structure in POSCAR format:
```
NaMgZr2Ru
1.0
5.198 0.000 0.000
0.000 5.198 0.000
0.000 0.000 4.561
Na Mg Zr Ru
1 1 2 1
Direct
0.000 0.000 0.000
0.500 0.500 0.500
0.000 0.500 0.500
0.500 0.000 0.500
0.500 0.500 0.000
```

Energy of formation from the pure elements, eV/f.u.: 6.2
VASP energy, eV per atom: -4.6145
ΔE to the lowest computed polymorph, kJ per mole of atoms: 0.0
SG: P4/mmm


A relaxed TbPm12Tm2 crystal. Source: the Alexandria database, functional GGA-PBE.

The structure in POSCAR format:
```
TbPm12Tm2
1.0
3.563 -5.754 0.000
3.563 5.754 0.000
-2.885 0.000 24.753
Tb Pm Tm
2 24 4
Direct
0.243 0.243 0.484
0.757 0.757 0.516
0.043 0.579 0.827
0.094 0.527 0.700
0.131 0.131 0.075
0.143 0.143 0.619
0.160 0.627 0.056
0.257 0.698 0.570
0.302 0.743 0.430
0.319 0.319 0.336
0.332 0.332 0.921
0.373 0.840 0.944
0.421 0.957 0.173
0.473 0.906 0.300
0.527 0.094 0.700
0.579 0.043 0.827
0.627 0.160 0.056
0.668 0.668 0.079
0.681 0.681 0.664
0.698 0.257 0.570
0.743 0.302 0.430
0.840 0.373 0.944
0.857 0.857 0.381
0.869 0.869 0.925
0.906 0.473 0.300
0.957 0.421 0.173
0.051 0.051 0.774
0.464 0.464 0.207
0.536 0.536 0.793
0.949 0.949 0.226
```

Energy of formation from the pure elements, eV/f.u.: 1.6
VASP energy, eV per atom: -4.6011
SG: C2/m


A relaxed Cu7Hg6 crystal. Source: the Alexandria database, functional GGA-PBE.

The structure in POSCAR format:
```
Cu7Hg6
1.0
6.534 3.773 3.291
-6.534 3.773 3.291
0.000 -7.545 3.291
Cu Hg
14 12
Direct
0.000 0.000 0.000
0.148 0.148 0.348
0.148 0.348 0.148
0.150 0.479 0.479
0.348 0.148 0.148
0.349 0.349 0.668
0.349 0.668 0.349
0.413 0.413 0.413
0.477 0.679 0.679
0.479 0.150 0.479
0.479 0.479 0.150
0.668 0.349 0.349
0.679 0.477 0.679
0.679 0.679 0.477
0.164 0.164 0.822
0.164 0.822 0.164
0.287 0.601 0.909
0.287 0.909 0.601
0.601 0.287 0.909
0.601 0.909 0.287
0.725 0.725 0.999
0.725 0.999 0.725
0.822 0.164 0.164
0.909 0.287 0.601
0.909 0.601 0.287
0.999 0.725 0.725
```

Energy of formation from the pure elements, eV/f.u.: 2.5
VASP energy, eV per atom: -2.1558
ΔE to the lowest computed polymorph, kJ per mole of atoms: 5.4
SG: R3m